[1]
Computed, not measured: a relaxed structure of Ba3As2H3 at the GGA-PBE level of DFT.

The space group is P-62m (No. 189) and the conventional cell measures 8.2426, 8.2426 and 3.4759 Å, with angles of 90.00, 90.00 and 120.00 degrees. The asymmetric unit holds Ba at (0.0000, 0.2871, 0.0000), As at (0.3333, 0.6667, 0.5000) and H at (0.0000, 0.8147, 0.5000).

The total energy is -27.491 eV for the cell shown.


[2]
Computed, not measured: a relaxed structure of Ba6AsH5 at the GGA-PBE level of DFT.

The space group is C2/m (No. 12) and the conventional cell measures 7.452, 12.836 and 7.425 Å, with angles of 90.00, 110.11 and 90.00 degrees. The asymmetric unit holds Ba at (0.232, 0.178, 0.241), Ba at (0.238, 0.000, 0.765), As at (0.000, 0.500, 0.500), H at (0.000, 0.000, 0.000), H at (0.000, 0.163, 0.500) and H at (0.000, 0.347, 0.000).

The total energy is -75.920 eV for the cell shown.


[3]
Computed, not measured: a relaxed structure of BaHgAs2H at the GGA-PBE level of DFT.

The space group is P4/mmm (No. 123) and the conventional cell measures 6.106, 6.106 and 4.347 Å, with angles of 90.00, 90.00 and 90.00 degrees. The asymmetric unit holds Ba at (0.000, 0.000, 0.000), Hg at (0.500, 0.500, 0.500), As at (0.000, 0.500, 0.000) and H at (0.000, 0.000, 0.500).

The total energy is -11.099 eV for the cell shown.


[4]
Computed, not measured: a relaxed structure of Ba8As3HI3 at the GGA-PBE level of DFT.

The space group is R-3m (No. 166, hexagonal axes) and the conventional cell measures 9.6550, 9.6550 and 24.3184 Å, with angles of 90.00, 90.00 and 120.00 degrees. The asymmetric unit holds Ba at (0.0000, 0.0000, 0.2378), Ba at (0.0197, 0.5099, 0.7602), As at (0.0000, 0.5000, 0.5000), H at (0.0000, 0.0000, 0.5000) and I at (0.0000, 0.5000, 0.0000).

The total energy is -163.724 eV for the cell shown.


[5]
Computed, not measured: a relaxed structure of Ba6As2HI3 at the GGA-PBE level of DFT.

The space group is C2/m (No. 12) and the conventional cell measures 8.198, 14.197 and 8.678 Å, with angles of 90.00, 108.34 and 90.00 degrees. The asymmetric unit holds Ba at (0.235, 0.000, 0.211), Ba at (0.238, 0.332, 0.211), As at (0.000, 0.167, 0.000), H at (0.000, 0.500, 0.000), I at (0.000, 0.000, 0.500) and I at (0.000, 0.332, 0.500).

The total energy is -86.862 eV for the cell shown.


[6]
Computed, not measured: a relaxed structure of BaAsH2I at the GGA-PBE level of DFT.

The space group is P4/mmm (No. 123) and the conventional cell measures 4.581, 4.581 and 6.213 Å, with angles of 90.00, 90.00 and 90.00 degrees. The asymmetric unit holds Ba at (0.000, 0.000, 0.000), As at (0.500, 0.500, 0.500), H at (0.000, 0.500, 0.500) and I at (0.500, 0.500, 0.000).

The total energy is -14.561 eV for the cell shown.


[7]
Computed, not measured: a relaxed structure of Ba2InAs2H2 at the GGA-PBE level of DFT.

The space group is I4/mmm (No. 139) and the conventional cell measures 4.625, 4.625 and 16.081 Å, with angles of 90.00, 90.00 and 90.00 degrees. The asymmetric unit holds Ba at (0.000, 0.000, 0.134), In at (0.000, 0.000, 0.500), As at (0.000, 0.000, 0.335) and H at (0.000, 0.500, 0.000).

The total energy is -51.569 eV for the cell shown.


[8]
Computed, not measured: a relaxed structure of BaInAsH at the GGA-PBE level of DFT.

The space group is P6_3mc (No. 186) and the conventional cell measures 4.7933, 4.7933 and 10.7309 Å, with angles of 90.00, 90.00 and 120.00 degrees. The asymmetric unit holds Ba at (0.3333, 0.6667, 0.0000), In at (0.0000, 0.0000, 0.2617), As at (0.3333, 0.6667, 0.3086) and H at (0.0000, 0.0000, 0.0807).

The total energy is -29.351 eV for the cell shown.


What did the fourth record say?
Computed, not measured: a relaxed structure of Ba8As3HI3 at the GGA-PBE level of DFT.

The space group is R-3m (No. 166, hexagonal axes) and the conventional cell measures 9.6550, 9.6550 and 24.3184 Å, with angles of 90.00, 90.00 and 120.00 degrees. The asymmetric unit holds Ba at (0.0000, 0.0000, 0.2378), Ba at (0.0197, 0.5099, 0.7602), As at (0.0000, 0.5000, 0.5000), H at (0.0000, 0.0000, 0.5000) and I at (0.0000, 0.5000, 0.0000).

The total energy is -163.724 eV for the cell shown.